one) This record from Alexandria describes Pm6Pr4Dy after structural relaxation. The functional is PBE-GGA.

Unit cell a=9.7794 b=9.7794 c=9.7794 alpha=139.23 beta=139.23 gamma=59.02
Closest atoms and distances in Å follow each position.
Sites, in units of the cell vectors:
Pm  0.0000  0.5000  0.5000  4 Pm 3.25, 2 Dy 3.41
Pm  0.0536  0.7046  0.0000  3 Pm 3.25-3.36, 3 Pr 3.44-3.56
Pm  0.2954  0.2954  0.3489  3 Pm 3.25-3.36, 3 Pr 3.44-3.56
Pm  0.5000  0.0000  0.5000  4 Pm 3.25, 2 Dy 3.41
Pm  0.7046  0.0536  0.0000  3 Pm 3.25-3.36, 3 Pr 3.44-3.56
Pm  0.9464  0.9464  0.6511  3 Pm 3.25-3.36, 3 Pr 3.44-3.56
Pr  0.1332  0.1332  0.6203  5 Pm 3.44-3.75, 1 Dy 3.52, 1 Pr 3.66
Pr  0.4872  0.8668  0.0000  5 Pm 3.44-3.75, 1 Dy 3.52, 1 Pr 3.66
Pr  0.5128  0.5128  0.3797  5 Pm 3.44-3.75, 1 Dy 3.52, 1 Pr 3.66
Pr  0.8668  0.4872  0.0000  5 Pm 3.44-3.75, 1 Dy 3.52, 1 Pr 3.66
Dy  0.5000  0.5000  0.0000  8 Pm 3.41-3.75, 4 Pr 3.52

Total magnetization   0.00 μB per formula unit

---

two) This record from Alexandria describes Pm6Pr4Dy after structural relaxation. The functional is PBE-GGA.

Unit cell a=8.7406 b=8.7406 c=8.7406 alpha=128.04 beta=128.04 gamma=76.55
Closest atoms and distances in Å follow each position.
Sites, in units of the cell vectors:
Pm  0.0000  0.5000  0.5000  4 Pr 3.04
Pm  0.0375  0.5899  0.0000  1 Pr 3.23, 1 Dy 3.52
Pm  0.4101  0.4101  0.4476  1 Pr 3.23, 1 Dy 3.52
Pm  0.5000  0.0000  0.5000  4 Pr 3.04
Pm  0.5899  0.0375  0.0000  1 Pr 3.23, 1 Dy 3.52
Pm  0.9625  0.9625  0.5524  1 Pr 3.23, 1 Dy 3.52
Pr  0.2443  0.2443  0.6513  3 Pm 3.04-3.23
Pr  0.4070  0.7557  0.0000  3 Pm 3.04-3.23
Pr  0.5930  0.5930  0.3487  3 Pm 3.04-3.23
Pr  0.7557  0.4070  0.0000  3 Pm 3.04-3.23
Dy  0.0000  0.0000  0.0000  8 Pm 3.52-3.83, 4 Pr 3.70

Total magnetization   0.00 μB per formula unit

---

Least stable = two)

---

one) This record from Alexandria describes Pm3PrDy4 after structural relaxation. The functional is PBE-GGA.

Unit cell a=11.5766 b=7.3265 c=6.3149 alpha=90.00 beta=90.00 gamma=90.00
Closest atoms and distances in Å follow each position.
Sites, in units of the cell vectors:
Pm  0.0000  0.1276  0.0000  6 Dy 3.58-3.71, 4 Pm 3.59-3.60, 2 Pr 3.67
Pm  0.2501  0.1280  0.3351  6 Dy 3.58-3.71, 2 Pr 3.58-3.60, 4 Pm 3.59-3.67
Pm  0.2499  0.8720  0.8351  6 Dy 3.58-3.71, 2 Pr 3.58-3.60, 4 Pm 3.59-3.67
Pm  0.5000  0.8724  0.5000  6 Dy 3.58-3.71, 4 Pm 3.59-3.60, 2 Pr 3.67
Pm  0.7499  0.1280  0.3351  6 Dy 3.58-3.71, 2 Pr 3.58-3.60, 4 Pm 3.59-3.67
Pm  0.7501  0.8720  0.8351  6 Dy 3.58-3.71, 2 Pr 3.58-3.60, 4 Pm 3.59-3.67
Pr  0.0000  0.8730  0.5002  6 Pm 3.58-3.67, 6 Dy 3.59-3.70
Pr  0.5000  0.1270  0.0002  6 Pm 3.58-3.67, 6 Dy 3.59-3.70
Dy  0.0000  0.3781  0.5016  6 Dy 3.57-3.63, 4 Pm 3.58-3.66, 2 Pr 3.63-3.70
Dy  0.0000  0.6216  0.0014  6 Dy 3.55-3.63, 4 Pm 3.58-3.71, 2 Pr 3.65-3.66
Dy  0.2494  0.3781  0.8341  6 Dy 3.55-3.63, 5 Pm 3.58-3.71, 1 Pr 3.59
Dy  0.2506  0.6219  0.3341  6 Dy 3.55-3.63, 5 Pm 3.58-3.71, 1 Pr 3.59
Dy  0.5000  0.3784  0.5014  6 Dy 3.55-3.63, 4 Pm 3.58-3.71, 2 Pr 3.65-3.66
Dy  0.5000  0.6219  0.0016  6 Dy 3.57-3.63, 4 Pm 3.58-3.66, 2 Pr 3.63-3.70
Dy  0.7494  0.6219  0.3341  6 Dy 3.55-3.63, 5 Pm 3.58-3.71, 1 Pr 3.59
Dy  0.7506  0.3781  0.8341  6 Dy 3.55-3.63, 5 Pm 3.58-3.71, 1 Pr 3.59

Total magnetization   0.00 μB per formula unit

---

two) This record from Alexandria describes Pm3PrDy4 after structural relaxation. The functional is PBE-GGA.

Unit cell a=6.2467 b=3.6148 c=11.8834 alpha=90.00 beta=100.23 gamma=90.00
Closest atoms and distances in Å follow each position.
Sites, in units of the cell vectors:
Pm  0.0000  0.0000  0.0000  6 Dy 3.60, 4 Pr 3.61, 2 Pm 3.61
Pm  0.0000  0.5000  0.5000  6 Dy 3.58-3.59, 6 Pm 3.61
Pm  0.5000  0.0000  0.5000  6 Dy 3.58-3.59, 6 Pm 3.61
Pr  0.5000  0.5000  0.0000  6 Dy 3.60, 4 Pm 3.61, 2 Pr 3.61
Dy  0.2493  0.0000  0.7491  4 Pm 3.58-3.60, 2 Pr 3.60, 6 Dy 3.61
Dy  0.2501  0.5000  0.2507  5 Pm 3.58-3.60, 1 Pr 3.60, 6 Dy 3.61
Dy  0.7499  0.5000  0.7493  5 Pm 3.58-3.60, 1 Pr 3.60, 6 Dy 3.61
Dy  0.7507  0.0000  0.2509  4 Pm 3.58-3.60, 2 Pr 3.60, 6 Dy 3.61

Total magnetization   0.00 μB per formula unit

---

Least stable = one)

---

one) This record from Alexandria describes PmPr2Dy2 after structural relaxation. The functional is PBE-GGA.

Unit cell a=9.0174 b=9.0174 c=7.1376 alpha=90.00 beta=90.00 gamma=144.13
Closest atoms and distances in Å follow each position.
Sites, in units of the cell vectors:
Pm  0.1072  0.8928  0.5000  6 Pr 3.53-3.78, 7 Dy 3.64-3.80
Pm  0.8928  0.1072  0.0000  6 Pr 3.53-3.78, 7 Dy 3.64-3.80
Pr  0.1056  0.8944  0.9940  3 Pm 3.53-3.65, 7 Dy 3.65-3.83, 3 Pr 3.68-3.80
Pr  0.3017  0.6983  0.7475  5 Dy 3.30-3.57, 2 Pm 3.66, 2 Pr 3.68
Pr  0.6983  0.3017  0.2475  5 Dy 3.30-3.57, 2 Pm 3.66, 2 Pr 3.68
Pr  0.8944  0.1056  0.4940  3 Pm 3.53-3.65, 7 Dy 3.65-3.83, 3 Pr 3.68-3.80
Dy  0.3022  0.6978  0.2478  6 Pr 3.30-3.65, 1 Dy 3.39, 2 Pm 3.64
Dy  0.4998  0.5002  0.2460  3 Dy 3.39-3.57, 5 Pr 3.41-3.77, 4 Pm 3.76-3.79
Dy  0.5002  0.4998  0.7460  3 Dy 3.39-3.57, 5 Pr 3.41-3.77, 4 Pm 3.76-3.79
Dy  0.6978  0.3022  0.7478  6 Pr 3.30-3.65, 1 Dy 3.39, 2 Pm 3.64

Total magnetization   0.00 μB per formula unit

---

two) This record from Alexandria describes PmPr2Dy2 after structural relaxation. The functional is PBE-GGA.

Unit cell a=5.7304 b=5.7304 c=12.1993 alpha=90.00 beta=90.00 gamma=120.00
Closest atoms and distances in Å follow each position.
Sites, in units of the cell vectors:
Pm  0.0000  0.0000  0.2500  5 Dy 3.05-3.31
Pm  0.0000  0.0000  0.7500  5 Dy 3.05-3.31
Pr  0.3333  0.6667  0.1011  6 Dy 3.53-3.77, 1 Pr 3.63, 3 Pm 3.77
Pr  0.3333  0.6667  0.3989  6 Dy 3.53-3.77, 1 Pr 3.63, 3 Pm 3.77
Pr  0.6667  0.3333  0.6011  6 Dy 3.53-3.77, 1 Pr 3.63, 3 Pm 3.77
Pr  0.6667  0.3333  0.8989  6 Dy 3.53-3.77, 1 Pr 3.63, 3 Pm 3.77
Dy  0.0000  0.0000  0.0000  2 Pm 3.05
Dy  0.0000  0.0000  0.5000  2 Pm 3.05
Dy  0.3333  0.6667  0.7500  3 Pm 3.31
Dy  0.6667  0.3333  0.2500  3 Pm 3.31

Total magnetization   0.00 μB per formula unit

---

Least stable = two)

---

one) This record from Alexandria describes Pm2Pr6Dy3 after structural relaxation. The functional is PBE-GGA.

Unit cell a=6.3356 b=8.1529 c=8.1887 alpha=107.42 beta=97.28 gamma=104.90
Closest atoms and distances in Å follow each position.
Sites, in units of the cell vectors:
Pm  0.2295  0.4106  0.0473  3 Dy 3.63-3.66, 7 Pr 3.63-3.68, 2 Pm 3.64-3.67
Pm  0.7705  0.5894  0.9527  3 Dy 3.63-3.66, 7 Pr 3.63-3.68, 2 Pm 3.64-3.67
Pr  0.0469  0.6827  0.4093  5 Pr 3.63-3.68, 5 Dy 3.64-3.67, 2 Pm 3.65-3.68
Pr  0.1369  0.0460  0.2310  6 Pr 3.63-3.72, 4 Dy 3.63-3.66, 2 Pm 3.67-3.68
Pr  0.3197  0.7722  0.8646  3 Pm 3.63-3.67, 3 Dy 3.65-3.67, 6 Pr 3.65-3.68
Pr  0.6803  0.2278  0.1354  3 Pm 3.63-3.67, 3 Dy 3.65-3.67, 6 Pr 3.65-3.68
Pr  0.8631  0.9540  0.7690  6 Pr 3.63-3.72, 4 Dy 3.63-3.66, 2 Pm 3.67-3.68
Pr  0.9531  0.3173  0.5907  5 Pr 3.63-3.68, 5 Dy 3.64-3.67, 2 Pm 3.65-3.68
Dy  0.4098  0.1378  0.6811  8 Pr 3.63-3.67, 2 Pm 3.63-3.66, 2 Dy 3.63-3.65
Dy  0.5000  0.5000  0.5000  2 Dy 3.63, 8 Pr 3.65-3.67, 2 Pm 3.65
Dy  0.5902  0.8622  0.3189  8 Pr 3.63-3.67, 2 Pm 3.63-3.66, 2 Dy 3.63-3.65

Total magnetization   0.00 μB per formula unit

---

two) This record from Alexandria describes Pm2Pr6Dy3 after structural relaxation. The functional is PBE-GGA.

Unit cell a=17.6081 b=17.6081 c=17.6081 alpha=164.33 beta=164.33 gamma=22.22
Closest atoms and distances in Å follow each position.
Sites, in units of the cell vectors:
Pm  0.0446  0.0446  0.0000  1 Pm 3.09
Pm  0.9554  0.9554  0.0000  1 Pm 3.09
Pr  0.1207  0.6207  0.5000  4 Pr 3.39, 2 Dy 3.48, 2 Pm 3.56
Pr  0.2070  0.2070  0.0000  5 Dy 3.42-3.43, 4 Pr 3.83
Pr  0.3793  0.8793  0.5000  4 Pr 3.39, 2 Dy 3.48, 2 Pm 3.56
Pr  0.6207  0.1207  0.5000  4 Pr 3.39, 2 Dy 3.48, 2 Pm 3.56
Pr  0.7930  0.7930  0.0000  5 Dy 3.42-3.43, 4 Pr 3.83
Pr  0.8793  0.3793  0.5000  4 Pr 3.39, 2 Dy 3.48, 2 Pm 3.56
Dy  0.3063  0.3063  0.0000  9 Pr 3.42-3.48
Dy  0.5000  0.5000  0.0000  8 Pm 3.73
Dy  0.6937  0.6937  0.0000  9 Pr 3.42-3.48

Total magnetization   0.00 μB per formula unit

---

Least stable = two)

---

one) This record from Alexandria describes Pm2Pr5Dy3 after structural relaxation. The functional is PBE-GGA.

Unit cell a=9.2856 b=9.2856 c=10.1259 alpha=108.53 beta=108.53 gamma=107.76
Closest atoms and distances in Å follow each position.
Sites, in units of the cell vectors:
Pm  0.0301  0.2740  0.0584  3 Dy 3.30-3.51, 4 Pr 3.42-3.61
Pm  0.2740  0.0301  0.5584  3 Dy 3.30-3.51, 4 Pr 3.42-3.61
Pm  0.7260  0.9699  0.4416  3 Dy 3.30-3.51, 4 Pr 3.42-3.61
Pm  0.9699  0.7260  0.9416  3 Dy 3.30-3.51, 4 Pr 3.42-3.61
Pr  0.1339  0.3768  0.7577  3 Dy 3.48-3.78, 3 Pr 3.49-3.53, 2 Pm 3.78-3.84
Pr  0.2282  0.7718  0.7500  3 Dy 3.12-3.42
Pr  0.2681  0.7319  0.2500  1 Pr 3.12, 2 Pm 3.42
Pr  0.3768  0.1339  0.2577  3 Dy 3.48-3.78, 3 Pr 3.49-3.53, 2 Pm 3.78-3.84
Pr  0.4759  0.5241  0.2500  3 Pr 3.12-3.49, 2 Dy 3.42
Pr  0.5241  0.4759  0.7500  3 Pr 3.12-3.49, 2 Dy 3.42
Pr  0.6232  0.8661  0.7423  3 Dy 3.48-3.78, 3 Pr 3.49-3.53, 2 Pm 3.78-3.84
Pr  0.7319  0.2681  0.7500  1 Pr 3.12, 2 Pm 3.42
Pr  0.7718  0.2282  0.2500  3 Dy 3.12-3.42
Pr  0.8661  0.6232  0.2423  3 Dy 3.48-3.78, 3 Pr 3.49-3.53, 2 Pm 3.78-3.84
Dy  0.0201  0.9799  0.7500  3 Pr 3.12-3.48, 2 Pm 3.38
Dy  0.2194  0.4676  0.4448  1 Pm 3.30, 5 Pr 3.42-3.62, 1 Dy 3.53
Dy  0.4676  0.2194  0.9448  1 Pm 3.30, 5 Pr 3.42-3.62, 1 Dy 3.53
Dy  0.5324  0.7806  0.0552  1 Pm 3.30, 5 Pr 3.42-3.62, 1 Dy 3.53
Dy  0.7806  0.5324  0.5552  1 Pm 3.30, 5 Pr 3.42-3.62, 1 Dy 3.53
Dy  0.9799  0.0201  0.2500  3 Pr 3.12-3.48, 2 Pm 3.38

Total magnetization   0.00 μB per formula unit

---

two) This record from Alexandria describes Pm2Pr5Dy3 after structural relaxation. The functional is PBE-GGA.

Unit cell a=12.5994 b=12.5994 c=12.5994 alpha=135.64 beta=55.62 gamma=148.18
Closest atoms and distances in Å follow each position.
Sites, in units of the cell vectors:
Pm  0.1203  0.0963  0.2166  1 Pr 2.93, 1 Dy 3.26
Pm  0.3797  0.5963  0.9760  1 Pr 2.93, 1 Dy 3.26
Pm  0.6203  0.4037  0.0240  1 Pr 2.93, 1 Dy 3.26
Pm  0.8797  0.9037  0.7834  1 Pr 2.93, 1 Dy 3.26
Pr  0.0038  0.2500  0.7538  2 Pm 3.42, 4 Pr 3.42-3.45
Pr  0.1278  0.4038  0.5317  1 Pm 2.93
Pr  0.2500  0.7500  0.5000  6 Pr 3.45
Pr  0.3722  0.9038  0.2760  1 Pm 2.93
Pr  0.4962  0.2500  0.2462  2 Pm 3.42, 4 Pr 3.42-3.45
Pr  0.5038  0.7500  0.7538  2 Pm 3.42, 4 Pr 3.42-3.45
Pr  0.6278  0.0962  0.7240  1 Pm 2.93
Pr  0.7500  0.2500  0.5000  6 Pr 3.45
Pr  0.8722  0.5962  0.4683  1 Pm 2.93
Pr  0.9962  0.7500  0.2462  2 Pm 3.42, 4 Pr 3.42-3.45
Dy  0.1181  0.7538  0.8720  1 Pm 3.26, 1 Pr 3.34
Dy  0.2500  0.2500  0.0000  4 Pm 3.32, 2 Dy 3.45
Dy  0.3819  0.2538  0.6357  1 Pm 3.26, 1 Pr 3.34
Dy  0.6181  0.7462  0.3643  1 Pm 3.26, 1 Pr 3.34
Dy  0.7500  0.7500  0.0000  4 Pm 3.32, 2 Dy 3.45
Dy  0.8819  0.2462  0.1280  1 Pm 3.26, 1 Pr 3.34

Total magnetization   0.00 μB per formula unit

---

Least stable = two)

---

one) This record from Alexandria describes PmPr4Dy3 after structural relaxation. The functional is PBE-GGA.

Unit cell a=11.7581 b=7.3746 c=6.3597 alpha=90.00 beta=90.00 gamma=90.00
Closest atoms and distances in Å follow each position.
Sites, in units of the cell vectors:
Pm  0.0000  0.1234  0.0000  6 Dy 3.61-3.66, 6 Pr 3.65-3.73
Pm  0.5000  0.8766  0.5000  6 Dy 3.61-3.66, 6 Pr 3.65-3.73
Pr  0.0000  0.3706  0.5012  4 Dy 3.62-3.76, 6 Pr 3.63-3.75, 2 Pm 3.66-3.67
Pr  0.0000  0.6287  0.9931  4 Dy 3.62-3.71, 6 Pr 3.62-3.75, 2 Pm 3.65-3.73
Pr  0.2469  0.6272  0.3331  5 Dy 3.61-3.73, 6 Pr 3.62-3.69, 1 Pm 3.66
Pr  0.2531  0.3728  0.8331  5 Dy 3.61-3.73, 6 Pr 3.62-3.69, 1 Pm 3.66
Pr  0.5000  0.3713  0.4931  4 Dy 3.62-3.71, 6 Pr 3.62-3.75, 2 Pm 3.65-3.73
Pr  0.5000  0.6294  0.0012  4 Dy 3.62-3.76, 6 Pr 3.63-3.75, 2 Pm 3.66-3.67
Pr  0.7469  0.3728  0.8331  5 Dy 3.61-3.73, 6 Pr 3.62-3.69, 1 Pm 3.66
Pr  0.7531  0.6272  0.3331  5 Dy 3.61-3.73, 6 Pr 3.62-3.69, 1 Pm 3.66
Dy  0.0000  0.8799  0.4978  4 Dy 3.60-3.62, 6 Pr 3.61-3.76, 2 Pm 3.64-3.66
Dy  0.2503  0.1209  0.3310  4 Dy 3.60-3.65, 2 Pm 3.61-3.62, 6 Pr 3.62-3.73
Dy  0.2497  0.8791  0.8310  4 Dy 3.60-3.65, 2 Pm 3.61-3.62, 6 Pr 3.62-3.73
Dy  0.5000  0.1201  0.9978  4 Dy 3.60-3.62, 6 Pr 3.61-3.76, 2 Pm 3.64-3.66
Dy  0.7497  0.1209  0.3310  4 Dy 3.60-3.65, 2 Pm 3.61-3.62, 6 Pr 3.62-3.73
Dy  0.7503  0.8791  0.8310  4 Dy 3.60-3.65, 2 Pm 3.61-3.62, 6 Pr 3.62-3.73

Total magnetization   0.00 μB per formula unit

---

two) This record from Alexandria describes PmPr4Dy3 after structural relaxation. The functional is PBE-GGA.

Unit cell a=10.3306 b=7.2714 c=7.2686 alpha=90.00 beta=90.00 gamma=90.00
Closest atoms and distances in Å follow each position.
Sites, in units of the cell vectors:
Pm  0.0000  0.0000  0.0000  8 Pr 3.63-3.65, 4 Dy 3.65
Pm  0.5000  0.0000  0.5000  8 Pr 3.63-3.65, 4 Dy 3.65
Pr  0.0000  0.0000  0.5000  2 Pm 3.63, 6 Dy 3.64-3.65, 4 Pr 3.65
Pr  0.0000  0.5000  0.0000  6 Dy 3.63-3.64, 2 Pm 3.64, 4 Pr 3.64
Pr  0.2500  0.2512  0.2500  6 Dy 3.61-3.66, 4 Pr 3.64-3.65, 2 Pm 3.65
Pr  0.2500  0.7488  0.7500  6 Dy 3.61-3.66, 4 Pr 3.64-3.65, 2 Pm 3.65
Pr  0.5000  0.0000  0.0000  2 Pm 3.63, 6 Dy 3.64-3.65, 4 Pr 3.65
Pr  0.5000  0.5000  0.5000  6 Dy 3.63-3.64, 2 Pm 3.64, 4 Pr 3.64
Pr  0.7500  0.2512  0.2500  6 Dy 3.61-3.66, 4 Pr 3.64-3.65, 2 Pm 3.65
Pr  0.7500  0.7488  0.7500  6 Dy 3.61-3.66, 4 Pr 3.64-3.65, 2 Pm 3.65
Dy  0.0000  0.5000  0.5000  8 Pr 3.63-3.64, 4 Dy 3.64
Dy  0.2500  0.2519  0.7500  8 Pr 3.61-3.66, 2 Dy 3.64, 2 Pm 3.65
Dy  0.2500  0.7481  0.2500  8 Pr 3.61-3.66, 2 Dy 3.64, 2 Pm 3.65
Dy  0.5000  0.5000  0.0000  8 Pr 3.63-3.64, 4 Dy 3.64
Dy  0.7500  0.2519  0.7500  8 Pr 3.61-3.66, 2 Dy 3.64, 2 Pm 3.65
Dy  0.7500  0.7481  0.2500  8 Pr 3.61-3.66, 2 Dy 3.64, 2 Pm 3.65

Total magnetization   0.00 μB per formula unit

---

Least stable = one)